Density functional theory data (GGA-PBEsol) for an optimized crystal structure of Ho4MnS7.

Output
Its mass density is 6.3 g/cm³. As for the space group: Cm. For the uncorrected formation energy, the calculation gives -1.821 eV/atom.

Unit cell a=3.7382 b=6.4259 c=11.2088 alpha=104.52 beta=90.00 gamma=106.91
Last column: magnetic moment on the atom in μB.
Fractional coordinates of all 12 atoms:
Ho  0.8892  0.7784  0.5653  0.06
S  0.6588  0.3175  0.0484  0.00
S  0.3355  0.6710  0.9467  0.00
Ho  0.6882  0.3763  0.7933  0.02
Ho  0.9962  0.9924  0.0071  0.02
S  0.9649  0.9298  0.2302  0.02
S  0.2601  0.5202  0.6392  0.02
Mn  0.1195  0.2389  0.4234  4.23
Ho  0.3025  0.6051  0.1990  0.07
S  0.5203  0.0405  0.5114  0.06
S  0.0338  0.0677  0.7861  0.01
S  0.7311  0.4622  0.3500  0.06